The following is a GGA-PBE calculation of a relaxed La2Dy2Y4Sc crystal, from Alexandria via LeMat-Bulk.

Calculated values
- DOS(E_F): 1.5223 states/eV/atom
- Calculated total energy: -5.679 eV per atom
- Formation enthalpy at 0 K: 0.02 eV per atom

Unit cell a=9.4942 b=9.4942 c=9.5610 alpha=115.07 beta=115.07 gamma=21.89
Fractional coordinates of all 9 atoms:
La: 0.1624 0.1624 0.4962
La: 0.8376 0.8376 0.5038
Dy: 0.3527 0.3527 0.8369
Dy: 0.6473 0.6473 0.1631
Y: 0.0198 0.0198 0.8323
Y: 0.3153 0.3153 0.1648
Y: 0.6847 0.6847 0.8352
Y: 0.9802 0.9802 0.1677
Sc: 0.5000 0.5000 0.5000


The following is a GGA-PBE calculation of a relaxed La2Dy3Y6Sc crystal, from Alexandria via LeMat-Bulk.

Calculated values
- DOS(E_F): 1.4396 states/eV/atom
- Calculated total energy: -5.701 eV per atom
- Formation enthalpy at 0 K: 0.03 eV per atom

Unit cell a=6.1779 b=6.1779 c=11.8310 alpha=94.99 beta=94.99 gamma=120.02
Fractional coordinates of all 12 atoms:
La: 0.1660 0.8340 0.0000
La: 0.8340 0.1660 0.0000
Dy: 0.0000 0.0000 0.5000
Dy: 0.3337 0.6663 0.5000
Dy: 0.6663 0.3337 0.5000
Y: 0.0868 0.4165 0.7481
Y: 0.2537 0.2537 0.2525
Y: 0.4165 0.0868 0.7481
Y: 0.5835 0.9132 0.2519
Y: 0.7463 0.7463 0.7475
Y: 0.9132 0.5835 0.2519
Sc: 0.5000 0.5000 0.0000


The following is a GGA-PBE calculation of a relaxed LaDy5Y2Sc crystal, from Alexandria via LeMat-Bulk.

Calculated values
- DOS(E_F): 1.6772 states/eV/atom
- Calculated total energy: -5.068 eV per atom
- Formation enthalpy at 0 K: 0.18 eV per atom

Unit cell a=10.2199 b=10.2199 c=10.3970 alpha=90.00 beta=90.00 gamma=148.12
Fractional coordinates of all 18 atoms:
La: 0.0836 0.9164 0.5000
La: 0.9164 0.0836 0.0000
Dy: 0.0175 0.9825 0.7836
Dy: 0.1230 0.8770 0.0649
Dy: 0.2032 0.7968 0.7503
Dy: 0.2213 0.7787 0.3663
Dy: 0.4802 0.5198 0.0669
Dy: 0.5198 0.4802 0.5669
Dy: 0.7787 0.2213 0.8663
Dy: 0.7968 0.2032 0.2503
Dy: 0.8770 0.1230 0.5649
Dy: 0.9825 0.0175 0.2836
Y: 0.3867 0.6133 0.7773
Y: 0.3884 0.6116 0.3609
Y: 0.6116 0.3884 0.8609
Y: 0.6133 0.3867 0.2773
Sc: 0.3019 0.6981 0.0583
Sc: 0.6981 0.3019 0.5583


The following is a GGA-PBE calculation of a relaxed LaDy6Y2Sc3 crystal, from Alexandria via LeMat-Bulk.

Calculated values
- DOS(E_F): 1.4873 states/eV/atom
- Calculated total energy: -5.321 eV per atom
- Formation enthalpy at 0 K: 0.05 eV per atom

Unit cell a=6.0732 b=6.0732 c=11.5361 alpha=95.03 beta=95.03 gamma=120.00
Fractional coordinates of all 12 atoms:
La: 0.0000 0.0000 0.0000
Dy: 0.0877 0.4215 0.2621
Dy: 0.2463 0.2463 0.7377
Dy: 0.4215 0.0877 0.2621
Dy: 0.5785 0.9123 0.7379
Dy: 0.7537 0.7537 0.2623
Dy: 0.9123 0.5785 0.7379
Y: 0.3334 0.6666 0.0000
Y: 0.6666 0.3334 0.0000
Sc: 0.1669 0.8331 0.5000
Sc: 0.5000 0.5000 0.5000
Sc: 0.8331 0.1669 0.5000


The following is a GGA-PBE calculation of a relaxed LaDy2Y6Sc3 crystal, from Alexandria via LeMat-Bulk.

Calculated values
- DOS(E_F): 1.5952 states/eV/atom
- Calculated total energy: -5.937 eV per atom
- Formation enthalpy at 0 K: 0.06 eV per atom

Unit cell a=6.0955 b=6.0955 c=11.5621 alpha=95.03 beta=95.03 gamma=119.99
Fractional coordinates of all 12 atoms:
La: 0.0000 0.0000 0.0000
Dy: 0.3335 0.6665 0.0000
Dy: 0.6665 0.3335 0.0000
Y: 0.0876 0.4219 0.2610
Y: 0.2469 0.2469 0.7386
Y: 0.4219 0.0876 0.2610
Y: 0.5781 0.9124 0.7390
Y: 0.7531 0.7531 0.2614
Y: 0.9124 0.5781 0.7390
Sc: 0.1671 0.8329 0.5000
Sc: 0.5000 0.5000 0.5000
Sc: 0.8329 0.1671 0.5000


The following is a GGA-PBE calculation of a relaxed LaDy6Y3Sc2 crystal, from Alexandria via LeMat-Bulk.

Calculated values
- DOS(E_F): 1.4815 states/eV/atom
- Calculated total energy: -5.339 eV per atom
- Formation enthalpy at 0 K: 0.04 eV per atom

Unit cell a=6.0949 b=6.0949 c=11.6902 alpha=94.96 beta=94.96 gamma=119.97
Fractional coordinates of all 12 atoms:
La: 0.0000 0.0000 0.0000
Dy: 0.0833 0.4199 0.2470
Dy: 0.2536 0.2536 0.7528
Dy: 0.4199 0.0833 0.2470
Dy: 0.5801 0.9167 0.7530
Dy: 0.7464 0.7464 0.2472
Dy: 0.9167 0.5801 0.7530
Y: 0.1675 0.8325 0.5000
Y: 0.5000 0.5000 0.5000
Y: 0.8325 0.1675 0.5000
Sc: 0.3335 0.6665 0.0000
Sc: 0.6665 0.3335 0.0000


The following is a GGA-PBE calculation of a relaxed La6DyY2Sc crystal, from Alexandria via LeMat-Bulk.

Calculated values
- DOS(E_F): 1.8272 states/eV/atom
- Calculated total energy: -5.129 eV per atom
- Formation enthalpy at 0 K: 0.21 eV per atom

Unit cell a=6.9219 b=6.9219 c=8.8572 alpha=105.56 beta=105.56 gamma=60.55
Fractional coordinates of all 10 atoms:
La: 0.0979 0.6062 0.7026
La: 0.1559 0.1559 0.8994
La: 0.3938 0.9021 0.2974
La: 0.6062 0.0979 0.7026
La: 0.8441 0.8441 0.1006
La: 0.9021 0.3938 0.2974
Dy: 0.5000 0.5000 0.0000
Y: 0.3982 0.3982 0.3245
Y: 0.6018 0.6018 0.6755
Sc: 0.0000 0.0000 0.5000


The following is a GGA-PBE calculation of a relaxed LaDyY3Sc crystal, from Alexandria via LeMat-Bulk.

Calculated values
- DOS(E_F): 1.7036 states/eV/atom
- Calculated total energy: -5.824 eV per atom
- Formation enthalpy at 0 K: 0.05 eV per atom

Unit cell a=7.9362 b=7.9362 c=10.0894 alpha=90.00 beta=90.00 gamma=143.31
Fractional coordinates of all 12 atoms:
La: 0.0038 0.9962 0.7500
La: 0.9962 0.0038 0.2500
Dy: 0.5000 0.5000 0.0000
Dy: 0.5000 0.5000 0.5000
Y: 0.1678 0.8322 0.0001
Y: 0.1678 0.8322 0.4999
Y: 0.3290 0.6710 0.7500
Y: 0.6710 0.3290 0.2500
Y: 0.8322 0.1678 0.9999
Y: 0.8322 0.1678 0.5001
Sc: 0.3310 0.6690 0.2500
Sc: 0.6690 0.3310 0.7500


The following is a GGA-PBE calculation of a relaxed LaDy2YSc crystal, from Alexandria via LeMat-Bulk.

Calculated values
- DOS(E_F): 1.7728 states/eV/atom
- Calculated total energy: -5.348 eV per atom
- Formation enthalpy at 0 K: 0.04 eV per atom

Unit cell a=6.1779 b=5.6426 c=9.5255 alpha=90.00 beta=108.78 gamma=90.00
Fractional coordinates of all 10 atoms:
La: 0.1312 0.2500 0.1074
La: 0.8688 0.7500 0.8926
Dy: 0.0633 0.7500 0.3087
Dy: 0.3316 0.2500 0.5016
Dy: 0.6684 0.7500 0.4984
Dy: 0.9367 0.2500 0.6913
Y: 0.4754 0.7500 0.1062
Y: 0.5246 0.2500 0.8938
Sc: 0.2643 0.7500 0.6943
Sc: 0.7357 0.2500 0.3057


The following is a GGA-PBE calculation of a relaxed LaDy3YSc crystal, from Alexandria via LeMat-Bulk.

Calculated values
- DOS(E_F): 1.5261 states/eV/atom
- Calculated total energy: -5.228 eV per atom
- Formation enthalpy at 0 K: 0.03 eV per atom

Unit cell a=9.4697 b=3.5686 c=11.8769 alpha=90.00 beta=110.45 gamma=90.00
Fractional coordinates of all 12 atoms:
La: 0.1323 0.2500 0.1335
La: 0.8677 0.7500 0.8665
Dy: 0.0741 0.2500 0.4067
Dy: 0.3242 0.7500 0.6505
Dy: 0.4348 0.7500 0.0998
Dy: 0.5652 0.2500 0.9002
Dy: 0.6758 0.2500 0.3495
Dy: 0.9259 0.7500 0.5933
Y: 0.1839 0.2500 0.8440
Y: 0.8161 0.7500 0.1560
Sc: 0.3834 0.7500 0.3845
Sc: 0.6166 0.2500 0.6155


Number 3 is which compound? LaDy5Y2Sc


The lowest DOS(E_F) belongs to which entry? La2Dy3Y6Sc


What did the eighth record say?
The following is a GGA-PBE calculation of a relaxed LaDyY3Sc crystal, from Alexandria via LeMat-Bulk.

Calculated values
- DOS(E_F): 1.7036 states/eV/atom
- Calculated total energy: -5.824 eV per atom
- Formation enthalpy at 0 K: 0.05 eV per atom

Unit cell a=7.9362 b=7.9362 c=10.0894 alpha=90.00 beta=90.00 gamma=143.31
Fractional coordinates of all 12 atoms:
La: 0.0038 0.9962 0.7500
La: 0.9962 0.0038 0.2500
Dy: 0.5000 0.5000 0.0000
Dy: 0.5000 0.5000 0.5000
Y: 0.1678 0.8322 0.0001
Y: 0.1678 0.8322 0.4999
Y: 0.3290 0.6710 0.7500
Y: 0.6710 0.3290 0.2500
Y: 0.8322 0.1678 0.9999
Y: 0.8322 0.1678 0.5001
Sc: 0.3310 0.6690 0.2500
Sc: 0.6690 0.3310 0.7500


Which formula does entry 7 have? La6DyY2Sc